Compound: K2NaTl3Br6
Source: Alexandria
Functional: PBE
Structure: optimized geometry

a b c (Å): 8.076 8.076 8.143
angles (deg): 99.57 99.57 119.91
Fractional positions:
Br (0.610, 0.923, 0.769)
Br (0.390, 0.077, 0.231)
Br (0.923, 0.610, 0.769)
Br (0.236, 0.236, 0.759)
Na (0.000, 0.000, 0.000)
K (0.666, 0.334, 0.000)
K (0.334, 0.666, 0.000)
Br (0.077, 0.390, 0.231)
Tl (0.831, 0.169, 0.500)
Br (0.764, 0.764, 0.241)
Tl (0.500, 0.500, 0.500)
Tl (0.169, 0.831, 0.500)

Calculated values
As for the formation energy (no corrections): -29.19 kcal/mol of atoms. The uncorrected energy is -35.84 eV/cell. The space group is No. 12. As for the crystal system: monoclinic. As for the density of states at the Fermi level: 0.0 states/eV per cell. The value obtained for the volume is 434 Å³/cell.